Material: NiO2
Method: DFT, PBE+U
State: optimized geometry

Computed properties:
* E_tot: -0.168 Ha/atom
* space group: Fd-3m (227)

Structure (POSCAR):
```
NiO2
1.0
0.000 3.952 3.952
3.952 0.000 3.952
3.952 3.952 0.000
Ni O
4 8
direct
0.625 0.625 0.625
0.125 0.625 0.625
0.625 0.625 0.125
0.625 0.125 0.625
0.862 0.415 0.862
0.862 0.862 0.862
0.388 0.835 0.388
0.835 0.388 0.388
0.388 0.388 0.388
0.388 0.388 0.835
0.415 0.862 0.862
0.862 0.862 0.415
```